Density functional theory data (GGA-PBE) for a relaxed Na2ZnB2Pt5 crystal.

Cell lengths 10.010, 10.010, 2.850 Å; angles 90.00, 90.00, 90.00 degrees
Space group P4/mbm (No. 127)
Inequivalent atoms, fractional coordinates:
Na: 0.179 0.321 0.000 x4
Zn: 0.000 0.000 0.000 x2
B: 0.126 0.626 0.000 x4
Pt: 0.000 0.500 0.500 x2
Pt: 0.065 0.780 0.500 x8

density	12.89	g/cm3
E	-5.14	eV/atom
magnetization	0.0000	μB per atom
energy relative to the elements	-0.390	eV/atom

---

Density functional theory data (GGA-PBE) for a relaxed CaSm4ErS8 crystal.

Cell lengths 8.2284, 8.2284, 19.9899 Å; angles 90.00, 90.00, 120.00 degrees
Space group R3m (No. 160, hexagonal axes)
Inequivalent atoms, fractional coordinates:
Ca: 0.0000 0.0000 0.0000 x3
Sm: 0.0000 0.0000 0.2488 x3
Sm: 0.1691 0.3383 0.4573 x9
Er: 0.0000 0.0000 0.6266 x3
S: 0.0000 0.0000 0.3822 x3
S: 0.0000 0.0000 0.8657 x3
S: 0.0289 0.5145 0.3750 x9
S: 0.1802 0.3604 0.2076 x9

density	4.53	g/cm3
E	-6.16	eV/atom
raw formation energy	-1.99	eV per atom
magnetization	0.0000	μB per atom

---

Density functional theory data (GGA-PBE) for a relaxed Er2MnBe3Pt4 crystal.

Cell lengths 3.961, 3.961, 10.159 Å; angles 90.00, 90.00, 90.00 degrees
Space group P-4m2 (No. 115)
Inequivalent atoms, fractional coordinates:
Er: 0.000 0.500 0.240 x2
Mn: 0.000 0.000 0.500 x1
Be: 0.000 0.500 0.881 x2
Be: 0.500 0.500 0.500 x1
Pt: 0.000 0.000 0.000 x1
Pt: 0.000 0.500 0.654 x2
Pt: 0.500 0.500 0.000 x1

density	12.47	g/cm3
E	-6.20	eV/atom
magnetization	0.3742	μB per atom
energy relative to the elements	-0.840	eV/atom